1.
VASP calculation (PBE-GGA) on Li6GaCu12 after structural relaxation.

Unit cell a=6.4315 b=6.4315 c=6.4315 alpha=100.32 beta=100.32 gamma=100.32
Atoms (fractional coordinates):
Li  0.0722  0.3357  0.3357
Li  0.3357  0.0722  0.3357
Li  0.3357  0.3357  0.0722
Li  0.6643  0.6643  0.9278
Li  0.6643  0.9278  0.6643
Li  0.9278  0.6643  0.6643
Ga  0.5000  0.5000  0.5000
Cu  0.1004  0.1004  0.6783
Cu  0.1004  0.6783  0.1004
Cu  0.2380  0.5000  0.7620
Cu  0.2380  0.7620  0.5000
Cu  0.3217  0.8996  0.8996
Cu  0.5000  0.2380  0.7620
Cu  0.5000  0.7620  0.2380
Cu  0.6783  0.1004  0.1004
Cu  0.7620  0.2380  0.5000
Cu  0.7620  0.5000  0.2380
Cu  0.8996  0.3217  0.8996
Cu  0.8996  0.8996  0.3217

Output
* E_form: -0.34 eV/f.u.
* space group: R-3m (166)

---

2.
VASP calculation (PBE-GGA) on BaYRu2 after structural relaxation.

Unit cell a=3.3173 b=4.2223 c=7.2205 alpha=90.00 beta=101.32 gamma=90.00
Atoms (fractional coordinates):
Ba  0.0000  0.0000  0.0000
Y  0.5000  0.0000  0.5000
Ru  0.0913  0.5000  0.6739
Ru  0.9087  0.5000  0.3261

Output
* E_form: 1.40 eV/f.u.
* space group: P2/m (10)

---

3.
VASP calculation (PBE-GGA) on MgMo2Se after structural relaxation.

Unit cell a=2.9754 b=4.3205 c=5.2648 alpha=90.00 beta=90.00 gamma=90.00
Atoms (fractional coordinates):
Mg  0.0000  0.0000  0.0000
Mo  0.5000  0.5000  0.2493
Mo  0.5000  0.5000  0.7507
Se  0.0000  0.0000  0.5000

Output
* space group: Pmmm (47)
* formation energy from raw total energies: 0.486 eV per atom

---

4.
VASP calculation (PBE-GGA) on HfMgZr2 after structural relaxation.

Unit cell a=3.1459 b=3.1459 c=9.2711 alpha=90.00 beta=90.00 gamma=90.00
Atoms (fractional coordinates):
Hf  0.0000  0.0000  0.0000
Mg  0.0000  0.0000  0.5000
Zr  0.5000  0.5000  0.2384
Zr  0.5000  0.5000  0.7616

Output
* E_form: -0.05 eV/f.u.
* space group: P4/mmm (123)

---

5.
VASP calculation (PBE-GGA) on Cd2Pd2I after structural relaxation.

Unit cell a=7.5862 b=7.5862 c=3.6452 alpha=90.00 beta=90.00 gamma=90.00
Atoms (fractional coordinates):
Cd  0.1524  0.3476  0.0000
Cd  0.3476  0.8476  0.0000
Cd  0.6524  0.1524  0.0000
Cd  0.8476  0.6524  0.0000
Pd  0.1392  0.6392  0.5000
Pd  0.3608  0.1392  0.5000
Pd  0.6392  0.8608  0.5000
Pd  0.8608  0.3608  0.5000
I  0.0000  0.0000  0.5000
I  0.5000  0.5000  0.5000

Output
* space group: P4/mbm (127)
* formation energy from raw total energies: -0.147 eV per atom

---

6.
VASP calculation (PBE-GGA) on Rb3As7 after structural relaxation.

Unit cell a=13.6606 b=26.7751 c=16.0900 alpha=90.00 beta=90.00 gamma=90.00
Atoms (fractional coordinates):
Rb  0.0454  0.0614  0.1408
Rb  0.0454  0.4386  0.6408
Rb  0.0532  0.6835  0.5410
Rb  0.0532  0.8165  0.0410
Rb  0.1105  0.0757  0.5853
Rb  0.1105  0.4243  0.0853
Rb  0.1372  0.5834  0.7457
Rb  0.1372  0.9166  0.2457
Rb  0.1403  0.6271  0.0964
Rb  0.1403  0.8729  0.5964
Rb  0.2177  0.2192  0.3322
Rb  0.2177  0.2808  0.8322
Rb  0.2823  0.7192  0.3322
Rb  0.2823  0.7808  0.8322
Rb  0.3597  0.1271  0.0964
Rb  0.3597  0.3729  0.5964
Rb  0.3628  0.0834  0.7457
Rb  0.3628  0.4166  0.2457
Rb  0.3895  0.5757  0.5853
Rb  0.3895  0.9243  0.0853
Rb  0.4468  0.1835  0.5410
Rb  0.4468  0.3165  0.0410
Rb  0.4546  0.5614  0.1408
Rb  0.4546  0.9386  0.6408
Rb  0.5454  0.0614  0.3592
Rb  0.5454  0.4386  0.8592
Rb  0.5532  0.6835  0.9590
Rb  0.5532  0.8165  0.4590
Rb  0.6105  0.0757  0.9147
Rb  0.6105  0.4243  0.4147
Rb  0.6372  0.5834  0.7543
Rb  0.6372  0.9166  0.2543
Rb  0.6403  0.6271  0.4036
Rb  0.6403  0.8729  0.9036
Rb  0.7177  0.2192  0.1678
Rb  0.7177  0.2808  0.6678
Rb  0.7823  0.7192  0.1678
Rb  0.7823  0.7808  0.6678
Rb  0.8597  0.1271  0.4036
Rb  0.8597  0.3729  0.9036
Rb  0.8628  0.0834  0.7543
Rb  0.8628  0.4166  0.2543
Rb  0.8895  0.5757  0.9147
Rb  0.8895  0.9243  0.4147
Rb  0.9468  0.1835  0.9590
Rb  0.9468  0.3165  0.4590
Rb  0.9546  0.5614  0.3592
Rb  0.9546  0.9386  0.8592
As  0.0108  0.7245  0.2983
As  0.0108  0.7755  0.7983
As  0.0461  0.1979  0.4997
As  0.0461  0.3021  0.9997
As  0.0485  0.1878  0.7411
As  0.0485  0.3122  0.2411
As  0.0631  0.6996  0.8855
As  0.0631  0.8004  0.3855
As  0.1216  0.1889  0.1250
As  0.1216  0.3111  0.6250
As  0.1291  0.0465  0.3589
As  0.1291  0.4535  0.8589
As  0.1319  0.0314  0.8081
As  0.1319  0.4686  0.3081
As  0.1383  0.5271  0.9423
As  0.1383  0.9729  0.4423
As  0.1431  0.5466  0.5076
As  0.1431  0.9534  0.0076
As  0.1846  0.0371  0.9536
As  0.1846  0.4629  0.4536
As  0.1920  0.2354  0.5635
As  0.1920  0.2646  0.0635
As  0.2105  0.1836  0.6869
As  0.2105  0.3164  0.1869
As  0.2132  0.5443  0.2712
As  0.2132  0.9557  0.7712
As  0.2203  0.5965  0.4043
As  0.2203  0.9035  0.9043
As  0.2797  0.0965  0.4043
As  0.2797  0.4035  0.9043
As  0.2868  0.0443  0.2712
As  0.2868  0.4557  0.7712
As  0.2895  0.6836  0.6869
As  0.2895  0.8164  0.1869
As  0.3080  0.7354  0.5635
As  0.3080  0.7646  0.0635
As  0.3154  0.5371  0.9536
As  0.3154  0.9629  0.4536
As  0.3569  0.0466  0.5076
As  0.3569  0.4534  0.0076
As  0.3617  0.0271  0.9423
As  0.3617  0.4729  0.4423
As  0.3681  0.5314  0.8081
As  0.3681  0.9686  0.3081
As  0.3709  0.5465  0.3589
As  0.3709  0.9535  0.8589
As  0.3784  0.6889  0.1250
As  0.3784  0.8111  0.6250
As  0.4369  0.1996  0.8855
As  0.4369  0.3004  0.3855
As  0.4515  0.6878  0.7411
As  0.4515  0.8122  0.2411
As  0.4539  0.6979  0.4997
As  0.4539  0.8021  0.9997
As  0.4892  0.2245  0.2983
As  0.4892  0.2755  0.7983
As  0.5108  0.7245  0.2017
As  0.5108  0.7755  0.7017
As  0.5461  0.1979  0.0003
As  0.5461  0.3021  0.5003
As  0.5485  0.1878  0.7589
As  0.5485  0.3122  0.2589
As  0.5631  0.6996  0.6145
As  0.5631  0.8004  0.1145
As  0.6216  0.1889  0.3750
As  0.6216  0.3111  0.8750
As  0.6291  0.0465  0.1411
As  0.6291  0.4535  0.6411
As  0.6319  0.0314  0.6919
As  0.6319  0.4686  0.1919
As  0.6383  0.5271  0.5577
As  0.6383  0.9729  0.0577
As  0.6431  0.5466  0.9924
As  0.6431  0.9534  0.4924
As  0.6846  0.0371  0.5464
As  0.6846  0.4629  0.0464
As  0.6920  0.2354  0.9365
As  0.6920  0.2646  0.4365
As  0.7105  0.1836  0.8131
As  0.7105  0.3164  0.3131
As  0.7132  0.5443  0.2288
As  0.7132  0.9557  0.7288
As  0.7203  0.5965  0.0957
As  0.7203  0.9035  0.5957
As  0.7797  0.0965  0.0957
As  0.7797  0.4035  0.5957
As  0.7868  0.0443  0.2288
As  0.7868  0.4557  0.7288
As  0.7895  0.6836  0.8131
As  0.7895  0.8164  0.3131
As  0.8080  0.7354  0.9365
As  0.8080  0.7646  0.4365
As  0.8154  0.5371  0.5464
As  0.8154  0.9629  0.0464
As  0.8569  0.0466  0.9924
As  0.8569  0.4534  0.4924
As  0.8617  0.0271  0.5577
As  0.8617  0.4729  0.0577
As  0.8681  0.5314  0.6919
As  0.8681  0.9686  0.1919
As  0.8709  0.5465  0.1411
As  0.8709  0.9535  0.6411
As  0.8784  0.6889  0.3750
As  0.8784  0.8111  0.8750
As  0.9369  0.1996  0.6145
As  0.9369  0.3004  0.1145
As  0.9515  0.6878  0.7589
As  0.9515  0.8122  0.2589
As  0.9539  0.6979  0.0003
As  0.9539  0.8021  0.5003
As  0.9892  0.2245  0.2017
As  0.9892  0.2755  0.7017

Output
* E_form: -3.76 eV/f.u.
* space group: Pbca (61)

---

7.
VASP calculation (PBE-GGA) on Pa3Ag5H12 after structural relaxation.

Unit cell a=10.6670 b=10.6670 c=10.6670 alpha=109.47 beta=109.47 gamma=109.47
Atoms (fractional coordinates):
Pa  0.1250  0.2500  0.3750
Pa  0.1250  0.3750  0.7500
Pa  0.2500  0.3750  0.1250
Pa  0.2500  0.8750  0.6250
Pa  0.3750  0.1250  0.2500
Pa  0.3750  0.7500  0.1250
Pa  0.6250  0.2500  0.8750
Pa  0.6250  0.8750  0.7500
Pa  0.7500  0.1250  0.3750
Pa  0.7500  0.6250  0.8750
Pa  0.8750  0.6250  0.2500
Pa  0.8750  0.7500  0.6250
Ag  0.0000  0.0000  0.0000
Ag  0.0000  0.0000  0.5000
Ag  0.0000  0.5000  0.0000
Ag  0.0000  0.5000  0.5000
Ag  0.1250  0.7500  0.8750
Ag  0.1250  0.8750  0.2500
Ag  0.2500  0.1250  0.8750
Ag  0.2500  0.6250  0.3750
Ag  0.3750  0.2500  0.6250
Ag  0.3750  0.6250  0.7500
Ag  0.5000  0.0000  0.0000
Ag  0.5000  0.0000  0.5000
Ag  0.5000  0.5000  0.0000
Ag  0.5000  0.5000  0.5000
Ag  0.6250  0.3750  0.2500
Ag  0.6250  0.7500  0.3750
Ag  0.7500  0.3750  0.6250
Ag  0.7500  0.8750  0.1250
Ag  0.8750  0.1250  0.7500
Ag  0.8750  0.2500  0.1250
H  0.0598  0.2355  0.1481
H  0.0598  0.3243  0.9117
H  0.0874  0.7355  0.6757
H  0.0874  0.8519  0.4117
H  0.0883  0.6481  0.4126
H  0.0883  0.9402  0.6757
H  0.1481  0.0598  0.2355
H  0.1481  0.5883  0.9126
H  0.1757  0.2355  0.5874
H  0.1757  0.4402  0.5883
H  0.2355  0.1481  0.0598
H  0.2355  0.5874  0.1757
H  0.2645  0.3243  0.9126
H  0.2645  0.4402  0.3519
H  0.3243  0.9117  0.0598
H  0.3243  0.9126  0.2645
H  0.3519  0.2645  0.4402
H  0.3519  0.5874  0.9117
H  0.4117  0.0874  0.8519
H  0.4117  0.8243  0.5598
H  0.4126  0.0883  0.6481
H  0.4126  0.8243  0.7645
H  0.4402  0.3519  0.2645
H  0.4402  0.5883  0.1757
H  0.5598  0.4117  0.8243
H  0.5598  0.6481  0.7355
H  0.5874  0.1757  0.2355
H  0.5874  0.9117  0.3519
H  0.5883  0.1757  0.4402
H  0.5883  0.9126  0.1481
H  0.6481  0.4126  0.0883
H  0.6481  0.7355  0.5598
H  0.6757  0.0874  0.7355
H  0.6757  0.0883  0.9402
H  0.7355  0.5598  0.6481
H  0.7355  0.6757  0.0874
H  0.7645  0.4126  0.8243
H  0.7645  0.8519  0.9402
H  0.8243  0.5598  0.4117
H  0.8243  0.7645  0.4126
H  0.8519  0.4117  0.0874
H  0.8519  0.9402  0.7645
H  0.9117  0.0598  0.3243
H  0.9117  0.3519  0.5874
H  0.9126  0.1481  0.5883
H  0.9126  0.2645  0.3243
H  0.9402  0.6757  0.0883
H  0.9402  0.7645  0.8519

Output
* space group: Ia-3d (230)
* E_tot: -328.90 eV/cell

---

8.
VASP calculation (PBE-GGA) on SrPtW4 after structural relaxation.

Unit cell a=5.4414 b=5.4414 c=5.4414 alpha=60.00 beta=60.00 gamma=60.00
Atoms (fractional coordinates):
Sr  0.0000  0.0000  0.0000
Pt  0.2500  0.2500  0.2500
W  0.1204  0.6265  0.6265
W  0.6265  0.1204  0.6265
W  0.6265  0.6265  0.1204
W  0.6265  0.6265  0.6265

Output
* E_form: 4.16 eV/f.u.
* space group: F-43m (216)

---

Copy entry 8 word for word.
VASP calculation (PBE-GGA) on SrPtW4 after structural relaxation.

Unit cell a=5.4414 b=5.4414 c=5.4414 alpha=60.00 beta=60.00 gamma=60.00
Atoms (fractional coordinates):
Sr  0.0000  0.0000  0.0000
Pt  0.2500  0.2500  0.2500
W  0.1204  0.6265  0.6265
W  0.6265  0.1204  0.6265
W  0.6265  0.6265  0.1204
W  0.6265  0.6265  0.6265

Output
* E_form: 4.16 eV/f.u.
* space group: F-43m (216)